# 1
Computed, not measured: a relaxed SmNp2UP4 crystal at the PBE level of DFT.

Lattice parameters (Å, degrees): 6.8975 6.8975 6.8975 131.88 131.88 70.42
Fractional positions:
Sm 0.0000 0.0000 0.0000
Np 0.5000 0.5000 0.0000
Np 0.7500 0.2500 0.5000
U 0.2500 0.7500 0.5000
P 0.0023 0.5023 0.5000
P 0.2546 0.2546 0.0000
P 0.4977 0.9977 0.5000
P 0.7454 0.7454 0.0000

V (A^3/atom): 22.283
Density of states at the Fermi level (states/eV per cell): 27.18
Energy relative to the elements (eV per atom): -1.0284

=====

# 2
Computed, not measured: a relaxed Sm2YNpP4 crystal at the PBE level of DFT.

Lattice parameters (Å, degrees): 6.9918 4.0368 7.0033 90.00 109.30 90.00
Fractional positions:
Sm 0.0000 0.0000 0.0000
Sm 0.5000 0.5000 0.0000
Y 0.0000 0.5000 0.5000
Np 0.5000 0.0000 0.5000
P 0.2519 0.0000 0.7406
P 0.2571 0.5000 0.2609
P 0.7429 0.5000 0.7391
P 0.7481 0.0000 0.2594

V (A^3/atom): 23.319
Density of states at the Fermi level (states/eV per cell): 10.71
Energy relative to the elements (eV per atom): -1.4027